Entry 1:
! Dy2YHg | Alexandria via LeMat-Bulk | GGA-PBE | relaxed; values from VASP
! Space-group type: P4/mmm, No. 123
&SYSTEM
  ibrav = 0, nat = 4, ntyp = 3
/
ATOMIC_SPECIES
Y 88.91 Y.upf
Hg 200.59 Hg.upf
Dy 162.50 Dy.upf
CELL_PARAMETERS angstrom
3.6078 0.0000 0.0000
0.0000 3.6078 0.0000
0.0000 0.0000 8.9238
ATOMIC_POSITIONS crystal
Y 0.5000 0.5000 0.5000
Hg 0.5000 0.5000 0.0000
Dy 0.0000 0.0000 0.7787
Dy 0.0000 0.0000 0.2213

Entry 2:
! HoTm3Pb | Alexandria via LeMat-Bulk | GGA-PBE | relaxed; values from VASP
! Space-group type: P2_1/c, No. 14
&SYSTEM
  ibrav = 0, nat = 20, ntyp = 3
/
ATOMIC_SPECIES
Ho 164.93 Ho.upf
Tm 168.93 Tm.upf
Pb 207.20 Pb.upf
CELL_PARAMETERS angstrom
8.4385 0.0000 0.0000
0.0000 8.8528 -0.9413
0.0000 -3.9996 8.4641
ATOMIC_POSITIONS crystal
Ho 0.9374 0.7075 0.2879
Ho 0.0626 0.2925 0.7121
Ho 0.4374 0.2925 0.2121
Ho 0.5626 0.7075 0.7879
Tm 0.0841 0.0902 0.2959
Tm 0.9159 0.9098 0.7041
Tm 0.5841 0.9098 0.2041
Tm 0.4159 0.0902 0.7959
Tm 0.5633 0.7138 0.4277
Tm 0.4367 0.2862 0.5723
Tm 0.0633 0.2862 0.0723
Tm 0.9367 0.7138 0.9277
Tm 0.1916 0.5746 0.5378
Tm 0.8084 0.4254 0.4622
Tm 0.6916 0.4254 0.9622
Tm 0.3084 0.5746 0.0378
Pb 0.2501 0.9040 0.4534
Pb 0.7499 0.0960 0.5466
Pb 0.7501 0.0960 0.0466
Pb 0.2499 0.9040 0.9534

The evaluated energy of formation for the records listed, in turn: -0.2269 -0.1306 eV per atom.